(1)
The following is a DFT calculation (GGA-PBE) of an optimized crystal structure of UGeH2.

Lattice parameters (Å, degrees): 3.643 3.643 4.878 68.07 68.07 60.00
Each line ends with the local moment (μB).
Atoms (fractional coordinates):
H (0.798, 0.798, 0.605)  -0.01
H (0.202, 0.202, 0.395)  -0.01
Ge (0.000, 0.000, 0.000)  0.06
U (0.500, 0.500, 0.500)  1.34

Final energy (eV per formula unit): -23.1
SG: No. 166



(2)
The following is a DFT calculation (GGA-PBE) of an optimized crystal structure of CaPr2Ag.

Lattice parameters (Å, degrees): 5.386 4.808 4.808 90.00 90.00 90.00
Atoms (fractional coordinates):
Pr (0.000, 0.000, 0.500)
Pr (0.000, 0.500, 0.000)
Ca (0.500, 0.500, 0.500)
Ag (0.500, 0.000, 0.000)

Polymorph energy (0 for the lowest one) (meV per atom): 114
SG: No. 123
Energy relative to the elements (eV/atom): 0.0245



(3)
The following is a DFT calculation (GGA-PBE) of an optimized crystal structure of Co2HgSe.

Lattice parameters (Å, degrees): 4.523 4.523 4.523 60.00 60.00 60.00
Each line ends with the local moment (μB).
Atoms (fractional coordinates):
Co (0.000, 0.000, 0.000)  1.77
Co (0.750, 0.750, 0.750)  1.73
Hg (0.500, 0.500, 0.500)  -0.02
Se (0.250, 0.250, 0.250)  0.10

Polymorph energy (0 for the lowest one) (meV per atom): 503
Energy relative to the elements, uncorrected (eV per atom): 0.70
SG: No. 216



(4)
The following is a DFT calculation (GGA-PBE) of an optimized crystal structure of CsAgRh2W.

Lattice parameters (Å, degrees): 5.094 4.878 5.094 90.00 90.00 90.00
Each line ends with the local moment (μB).
Atoms (fractional coordinates):
Cs (0.500, 0.500, 0.500)  0.04
Rh (0.000, 0.000, 0.500)  0.33
Rh (0.500, 0.000, 0.000)  0.38
Ag (0.000, 0.000, 0.000)  0.08
W (0.000, 0.500, 0.000)  2.29

SG: No. 123
Energy relative to the elements (eV/atom): 1.9899